# SmGdZr | the Alexandria database | PBE | relaxed
data_SmGdZr
_chemical_formula_sum 'Sm2 Gd2 Zr2'
_symmetry_space_group_name_H-M 'I 4 m m'
_symmetry_Int_Tables_number 107
_symmetry_space_group_name_Hall 'I 4 -2'
_cell_length_a 3.411
_cell_length_b 3.411
_cell_length_c 15.009
_cell_angle_alpha 90.00
_cell_angle_beta 90.00
_cell_angle_gamma 90.00
loop_
_atom_site_label
_atom_site_fract_x
_atom_site_fract_y
_atom_site_fract_z
Sm1 0.000 0.000 0.000
Gd1 0.000 0.000 0.311
Zr1 0.000 0.000 0.657
# * size of the total moment: 14.63 Bohr magnetons per cell
# * calculated volume: 87.3 Å³/f.u.
# * energy above the lowest structure with this stoichiometry: 0.00 eV per formula unit
# * calculated formation energy: 0.099 eV per atom